AlZn2Ru, relaxed, DFT PBE; raw total energy = -3.948 eV/atom; SG = R3m; crystal system = trigonal
1.0
8.6000 -0.0033 -0.0020
8.1289 2.8072 -0.0020
8.1289 1.3624 2.4544
Ru Zn Al
1 2 1
Direct
0.7522 0.7522 0.7522 Ru
0.0026 0.0026 0.0026 Zn
0.2492 0.2492 0.2492 Zn
0.4961 0.4961 0.4961 Al